No. 1
Material: ZnHgRu2
Method: DFT, PBE
State: optimized geometry

abc: 8.917 2.894 4.960
angles: 90.00 98.72 90.00
Space group Cm (No. 8)
Asymmetric unit:
Zn 0.000 0.000 0.000 x2
Hg 0.257 0.500 0.241 x2
Ru 0.011 0.500 0.553 x2
Ru 0.252 0.000 0.733 x2

Computed properties:
- energy (eV/cell) = -37.646
- DFT formation energy (eV/atom) = 0.326
- relative energy among the computed polymorphs (meV/atom) = 184

---

No. 2
Material: Al2TlOs2
Method: DFT, PBE
State: optimized geometry

abc: 3.896 3.896 11.660
angles: 90.00 90.00 90.00
Space group I4/mmm (No. 139)
Asymmetric unit:
Al 0.000 0.500 0.250 x4
Tl 0.000 0.000 0.000 x2
Os 0.000 0.000 0.391 x4

Computed properties:
- energy (eV/cell) = -61.611
- DFT formation energy (eV/atom) = 0.301
- relative energy among the computed polymorphs (meV/atom) = 211

---

No. 3
Material: Sc5Ir15C4
Method: DFT, PBE
State: optimized geometry

abc: 3.996 3.996 21.625
angles: 90.00 90.00 90.00
Space group P4/mmm (No. 123)
Asymmetric unit:
Sc 0.000 0.000 0.000 x1
Sc 0.000 0.000 0.201 x2
Sc 0.000 0.000 0.405 x2
Ir 0.000 0.500 0.093 x4
Ir 0.000 0.500 0.299 x4
Ir 0.000 0.500 0.500 x2
Ir 0.500 0.500 0.000 x1
Ir 0.500 0.500 0.209 x2
Ir 0.500 0.500 0.416 x2
C 0.500 0.500 0.119 x2
C 0.500 0.500 0.326 x2

Computed properties:
- energy (eV/cell) = -210.525
- DFT formation energy (eV/atom) = -0.377

---

No. 4
Material: GaBiI2O
Method: DFT, PBE
State: optimized geometry

abc: 6.009 6.009 3.665
angles: 90.00 90.00 90.00
Space group P4/mmm (No. 123)
Asymmetric unit:
Ga 0.000 0.000 0.000 x1
Bi 0.500 0.500 0.500 x1
I 0.000 0.500 0.000 x2
O 0.000 0.000 0.500 x1

Computed properties:
- energy (eV/cell) = -16.588
- formation energy (no corrections) (eV/atom) = -0.32
- relative energy among the computed polymorphs (meV/atom) = 17

---

No. 5
Material: Ce2Mg2Sn
Method: DFT, PBE
State: optimized geometry

abc: 4.194 4.194 16.950
angles: 90.00 90.00 90.00
Space group I4/mmm (No. 139)
Asymmetric unit:
Ce 0.000 0.000 0.080 x4
Mg 0.000 0.500 0.250 x4
Sn 0.000 0.000 0.500 x2

Computed properties:
- energy (eV/cell) = -38.471
- DFT formation energy (eV/atom) = -0.035

---

No. 6
Material: GdTmAlAu
Method: DFT, PBE
State: optimized geometry

abc: 7.243 7.243 7.243
angles: 90.00 90.00 90.00
Space group F-43m (No. 216)
Asymmetric unit:
Gd 0.000 0.000 0.000 x4
Tm 0.000 0.000 0.500 x4
Al 0.250 0.250 0.750 x4
Au 0.250 0.250 0.250 x4

Computed properties:
- energy (eV/cell) = -111.326
- DFT formation energy (eV/atom) = -0.565

---

No. 7
Material: KNdCuF6
Method: DFT, PBE
State: optimized geometry

abc: 5.8901 5.8901 10.7780
angles: 90.00 90.00 120.00
Space group P-31c (No. 163)
Asymmetric unit:
K 0.0000 0.0000 0.0000 x2
Nd 0.3333 0.6667 0.2500 x2
Cu 0.3333 0.6667 0.7500 x2
F 0.0296 0.3862 0.6444 x12

Computed properties:
- energy (eV/cell) = -94.100
- formation energy (no corrections) (eV/atom) = -2.87

---

No. 8
Material: PI2NCl
Method: DFT, PBE
State: optimized geometry

abc: 7.175 7.175 3.268
angles: 90.00 90.00 90.00
Space group P4/mmm (No. 123)
Asymmetric unit:
P 0.000 0.000 0.000 x1
I 0.000 0.500 0.500 x2
N 0.500 0.500 0.000 x1
Cl 0.500 0.500 0.500 x1

Computed properties:
- energy (eV/cell) = -11.119
- formation energy (no corrections) (eV/atom) = 1.51
- relative energy among the computed polymorphs (meV/atom) = 957

---

No. 9
Material: SrEu2Si
Method: DFT, PBE
State: optimized geometry

abc: 4.1798 4.1798 32.1461
angles: 90.00 90.00 120.00
Space group R-3m (No. 166, hexagonal axes)
Asymmetric unit:
Sr 0.0000 0.0000 0.0000 x3
Eu 0.0000 0.0000 0.2226 x6
Si 0.0000 0.0000 0.5000 x3

Computed properties:
- energy (eV/cell) = -83.944
- formation energy (no corrections) (eV/atom) = -0.08
- relative energy among the computed polymorphs (meV/atom) = 105

---

No. 10
Material: TcHgI6
Method: DFT, PBE
State: optimized geometry

abc: 7.368 12.912 7.702
angles: 90.00 112.91 90.00
Space group C2/m (No. 12)
Asymmetric unit:
Tc 0.000 0.000 0.000 x2
Hg 0.000 0.500 0.500 x2
I 0.223 0.151 0.240 x8
I 0.249 0.000 0.820 x4

Computed properties:
- energy (eV/cell) = -41.298
- formation energy (no corrections) (eV/atom) = -0.09

---

No. 11
Material: SrBeRu2
Method: DFT, PBE
State: optimized geometry

abc: 2.868 4.962 9.154
angles: 90.00 90.00 90.00
Space group Immm (No. 71)
Asymmetric unit:
Sr 0.000 0.000 0.000 x2
Be 0.000 0.000 0.500 x2
Ru 0.000 0.500 0.205 x4

Computed properties:
- energy (eV/cell) = -43.839
- DFT formation energy (eV/atom) = 0.510

---

No. 12
Material: CeErMgPd
Method: DFT, PBE
State: optimized geometry

abc: 7.299 7.299 7.299
angles: 90.00 90.00 90.00
Space group F-43m (No. 216)
Asymmetric unit:
Ce 0.000 0.000 0.000 x4
Er 0.000 0.000 0.500 x4
Mg 0.250 0.250 0.250 x4
Pd 0.250 0.250 0.750 x4

Computed properties:
- energy (eV/cell) = -73.648
- DFT formation energy (eV/atom) = -0.282